Record 1
Density functional theory data (PBE-GGA) for a relaxed structure of Ag3TeBr.

The space group is P2_1/c (No. 14) and the conventional cell measures 9.670, 6.398 and 9.581 Å, with angles of 90.00, 112.03 and 90.00 degrees. The inequivalent atoms are Ag at (0.009, 0.120, 0.124), Ag at (0.123, 0.561, 0.139), Ag at (0.314, 0.574, 0.590), Te at (0.166, 0.234, 0.426) and Br at (0.403, 0.682, 0.326).

The value obtained for the raw formation energy is -0.15 eV/atom. Its relative energy among the computed polymorphs is 0 kJ/mol of formula units.

=====

Record 2
Density functional theory data (PBE-GGA) for a relaxed structure of Pr4GaPtI2.

The space group is P2/m (No. 10) and the conventional cell measures 7.850, 4.218 and 8.250 Å, with angles of 90.00, 106.86 and 90.00 degrees. The inequivalent atoms are Pr at (0.223, 0.000, 0.190), Pr at (0.256, 0.500, 0.794), Ga at (0.500, 0.000, 0.000), Pt at (0.000, 0.500, 0.000), I at (0.000, 0.000, 0.500) and I at (0.500, 0.500, 0.500).

The value obtained for the raw formation energy is -0.91 eV/atom.

=====

Per-record total DFT energy (no corrections), eV per cell: -56.45 -38.54